AsAu2S2 (GGA-PBE, optimized geometry); uncorrected formation energy = 0.568 eV per atom; VASP energy = -3.324 eV/atom; space group = No. 139; total magnetic moment = 0.000 μB/atom
1.0
-1.866 1.866 7.173
1.866 -1.866 7.173
1.866 1.866 -7.173
As Au S
1 2 2
direct
0.000 0.000 0.000
0.250 0.750 0.500
0.750 0.250 0.500
0.404 0.404 0.000
0.596 0.596 0.000

YAlP2O (GGA-PBE, optimized geometry); uncorrected formation energy = -0.004 eV per atom; VASP energy = -5.201 eV/atom; space group = No. 123; total magnetic moment = 0.181 μB/atom
1.0
5.409 0.000 0.000
0.000 5.409 0.000
0.000 0.000 4.158
Y Al P O
1 1 2 1
direct
0.000 0.000 0.000
0.500 0.500 0.500
0.000 0.500 0.000
0.500 0.000 0.000
0.000 0.000 0.500